Entry 1:
ThNi4AsP2, relaxed, DFT GGA-PBE; energy relative to the elements = -67 kJ/mol of atoms; M_tot = 0.000 μB/atom; V = 117.1 Å³/cell; DOS(E_F) = 5.3 states/eV/f.u.; total energy = -51.58 eV for the cell shown; crystal system = tetragonal; symmetry = P4/mmm
1.0
-0.602 3.933 0.322
-0.841 -0.447 3.877
7.097 0.952 1.650
Ni P As Th
4 2 1 1
Direct
0.500 0.000 0.185 Ni
0.500 0.000 0.815 Ni
0.000 0.500 0.185 Ni
0.000 0.500 0.815 Ni
0.500 0.500 0.334 P
0.500 0.500 0.666 P
0.000 0.000 0.000 As
0.000 0.000 0.500 Th

---

Entry 2:
Th2Ni4AsP3, relaxed, DFT GGA-PBE; energy relative to the elements = -93 kJ/mol of atoms; M_tot = 0.000 μB/atom; V = 156.6 Å³/cell; DOS(E_F) = 5.9 states/eV/f.u.; total energy = -68.46 eV for the cell shown; crystal system = tetragonal; symmetry = P-4m2
1.0
-0.834 0.637 -3.994
-3.907 -1.183 0.627
-2.327 8.680 1.870
Th Ni As P
2 4 1 3
Direct
0.000 0.500 0.758 Th
0.500 0.000 0.242 Th
0.500 0.500 0.000 Ni
0.500 0.000 0.623 Ni
0.000 0.000 0.000 Ni
0.000 0.500 0.377 Ni
0.500 0.500 0.500 As
0.000 0.500 0.127 P
0.500 0.000 0.873 P
0.000 0.000 0.500 P

---

Entry 3:
TlNiAs2P, relaxed, DFT GGA-PBE; energy relative to the elements = 149 kJ/mol of atoms; M_tot = 0.000 μB/atom; V = 131.1 Å³/cell; DOS(E_F) = 3.7 states/eV/f.u.; total energy = -15.13 eV for the cell shown; crystal system = tetragonal; symmetry = P4/mmm
1.0
-0.516 -1.548 4.986
-0.735 -4.472 -1.464
5.158 -0.928 0.245
As P Ni Tl
2 1 1 1
Direct
0.500 0.000 0.000 As
0.000 0.000 0.500 As
0.500 0.500 0.500 P
0.000 0.500 0.000 Ni
0.000 0.000 0.000 Tl

---

Entry 4:
UNi2AsP, relaxed, DFT GGA-PBE; energy relative to the elements = -37 kJ/mol of atoms; M_tot = 0.478 μB/atom; V = 90.7 Å³/cell; DOS(E_F) = 9.5 states/eV/f.u.; total energy = -34.82 eV for the cell shown; crystal system = tetragonal; symmetry = P4mm
1.0
-3.154 0.435 1.647
1.499 -0.939 3.118
1.595 6.759 1.268
U Ni P As
1 2 1 1
Direct
0.000 0.000 0.505 U
0.500 0.000 0.869 Ni
0.000 0.500 0.869 Ni
0.500 0.500 0.665 P
0.000 0.000 0.091 As

---

Entry 5:
UNi4AsP2, relaxed, DFT GGA-PBE; energy relative to the elements = -54 kJ/mol of atoms; M_tot = 0.264 μB/atom; V = 111.2 Å³/cell; DOS(E_F) = 10.9 states/eV/f.u.; total energy = -54.34 eV for the cell shown; crystal system = tetragonal; symmetry = P4/mmm
1.0
3.833 0.000 0.000
0.000 3.833 0.000
0.000 0.000 7.571
Ni U As P
4 1 1 2
Direct
0.000 0.500 0.814 Ni
0.000 0.500 0.186 Ni
0.500 0.000 0.814 Ni
0.500 0.000 0.186 Ni
0.000 0.000 0.500 U
0.000 0.000 0.000 As
0.500 0.500 0.652 P
0.500 0.500 0.348 P

---

Entry 6:
VNi2AsP, relaxed, DFT GGA-PBE; energy relative to the elements = 62 kJ/mol of atoms; M_tot = 0.000 μB/atom; V = 83.4 Å³/cell; DOS(E_F) = 5.6 states/eV/f.u.; total energy = -27.54 eV for the cell shown; crystal system = tetragonal; symmetry = P4/mmm
1.0
4.249 0.000 0.000
0.000 4.619 0.000
0.000 0.000 4.249
P V Ni As
1 1 2 1
Direct
0.500 0.500 0.500 P
0.000 0.500 0.000 V
0.000 0.000 0.500 Ni
0.500 0.000 0.000 Ni
0.000 0.000 0.000 As

---

Entry 7:
Y2Ni4AsP3, relaxed, DFT GGA-PBE; energy relative to the elements = -89 kJ/mol of atoms; M_tot = 0.000 μB/atom; V = 148.7 Å³/cell; DOS(E_F) = 3.1 states/eV/f.u.; total energy = -66.19 eV for the cell shown; crystal system = tetragonal; symmetry = P-4m2
1.0
4.013 0.000 0.000
0.000 4.013 0.000
0.000 0.000 9.234
Y Ni P As
2 4 3 1
Direct
0.000 0.500 0.755 Y
0.500 0.000 0.245 Y
0.500 0.000 0.628 Ni
0.000 0.500 0.372 Ni
0.500 0.500 0.000 Ni
0.000 0.000 0.000 Ni
0.500 0.000 0.872 P
0.000 0.500 0.128 P
0.000 0.000 0.500 P
0.500 0.500 0.500 As

---

Entry 8:
Y2Ni4As3P, relaxed, DFT GGA-PBE; energy relative to the elements = -81 kJ/mol of atoms; M_tot = 0.000 μB/atom; V = 158.2 Å³/cell; DOS(E_F) = 3.2 states/eV/f.u.; total energy = -63.76 eV for the cell shown; crystal system = tetragonal; symmetry = P-4m2
1.0
-2.808 1.960 2.288
-0.653 -3.449 2.154
6.662 2.506 6.031
Ni As Y P
4 3 2 1
Direct
0.000 0.500 0.385 Ni
0.000 0.000 0.000 Ni
0.500 0.000 0.615 Ni
0.500 0.500 0.000 Ni
0.000 0.000 0.500 As
0.000 0.500 0.133 As
0.500 0.000 0.867 As
0.500 0.000 0.254 Y
0.000 0.500 0.746 Y
0.500 0.500 0.500 P

---

Entry 9:
Pa2Ni5As3, relaxed, DFT GGA-PBE; energy relative to the elements = -55 kJ/mol of atoms; M_tot = 0.000 μB/atom; V = 312.6 Å³/cell; DOS(E_F) = 8.6 states/eV/f.u.; total energy = -135.14 eV for the cell shown; crystal system = orthorhombic; symmetry = Cmc2_1
1.0
-3.341 -2.236 0.420
3.868 -5.464 1.678
1.085 4.023 10.596
Pa Ni As
4 10 6
Direct
0.504 0.761 0.008 Pa
0.496 0.261 0.992 Pa
0.836 0.249 0.672 Pa
0.164 0.749 0.328 Pa
0.385 0.521 0.769 Ni
0.293 0.869 0.587 Ni
0.870 0.774 0.739 Ni
0.275 0.483 0.550 Ni
0.615 0.021 0.231 Ni
0.130 0.274 0.261 Ni
0.725 0.983 0.450 Ni
0.952 0.036 0.904 Ni
0.048 0.536 0.096 Ni
0.707 0.369 0.413 Ni
0.768 0.673 0.536 As
0.060 0.013 0.121 As
0.232 0.173 0.464 As
0.392 0.985 0.784 As
0.608 0.485 0.216 As
0.940 0.513 0.879 As

---

Entry 10:
Pa3Ni3As4, relaxed, DFT GGA-PBE; energy relative to the elements = -83 kJ/mol of atoms; M_tot = 0.000 μB/atom; V = 363.4 Å³/cell; DOS(E_F) = 13.6 states/eV/f.u.; total energy = -146.07 eV for the cell shown; crystal system = cubic; symmetry = I-43d
1.0
2.122 -6.450 -3.811
1.935 -0.668 7.513
-7.701 0.967 -0.621
Pa As Ni
6 8 6
Direct
0.250 0.875 0.125 Pa
0.375 0.125 0.750 Pa
0.750 0.625 0.375 Pa
0.125 0.375 0.250 Pa
0.875 0.250 0.625 Pa
0.625 0.750 0.875 Pa
0.500 0.334 0.500 As
0.500 0.834 0.500 As
0.834 0.500 0.000 As
0.334 0.500 0.000 As
0.666 0.166 0.166 As
0.000 0.000 0.334 As
0.166 0.666 0.666 As
0.000 0.000 0.834 As
0.875 0.625 0.750 Ni
0.750 0.125 0.875 Ni
0.125 0.750 0.375 Ni
0.625 0.875 0.250 Ni
0.375 0.250 0.125 Ni
0.250 0.375 0.625 Ni

---

Entry 11:
Pa2Ni3As, relaxed, DFT GGA-PBE; energy relative to the elements = -58 kJ/mol of atoms; M_tot = 0.000 μB/atom; V = 206.9 Å³/cell; DOS(E_F) = 4.2 states/eV/f.u.; total energy = -89.20 eV for the cell shown; crystal system = orthorhombic; symmetry = Fmmm
1.0
-1.908 -4.211 -2.841
-3.096 -2.557 3.650
-3.158 7.326 -2.445
Ni As Pa
6 2 4
Direct
0.169 0.169 0.339 Ni
0.831 0.831 0.171 Ni
0.831 0.831 0.661 Ni
0.340 0.340 0.171 Ni
0.660 0.660 0.829 Ni
0.169 0.169 0.829 Ni
0.664 0.664 0.328 As
0.336 0.336 0.672 As
0.778 0.222 0.000 Pa
0.250 0.750 0.500 Pa
0.222 0.778 0.000 Pa
0.750 0.250 0.500 Pa

---

Entry 12:
Pa2Ni6As, relaxed, DFT GGA-PBE; energy relative to the elements = -47 kJ/mol of atoms; M_tot = 0.000 μB/atom; V = 132.9 Å³/cell; DOS(E_F) = 6.9 states/eV/f.u.; total energy = -62.73 eV for the cell shown; crystal system = trigonal; symmetry = P-3m1
1.0
5.203 0.000 0.000
-2.601 4.479 0.490
0.000 -0.616 5.637
Ni As Pa
6 1 2
Direct
0.826 0.174 0.671 Ni
0.174 0.348 0.329 Ni
0.826 0.652 0.671 Ni
0.174 0.826 0.329 Ni
0.652 0.826 0.329 Ni
0.348 0.174 0.671 Ni
0.000 0.000 0.000 As
0.667 0.333 0.194 Pa
0.333 0.667 0.806 Pa

---

Look up the total energy of the fifth one. -54.34 eV for the cell shown